This record from the Alexandria database describes a geometry-optimized AcCr2AuO8 structure. The functional is PBE with a Hubbard U.

Cell: 5.617 5.617 7.475 Å, 90.00 90.00 120.00°
Fractional positions:
O 0.832 0.168 0.232
O 0.832 0.663 0.232
O 0.667 0.333 0.519
O 0.663 0.832 0.768
O 0.337 0.168 0.232
O 0.168 0.832 0.768
O 0.333 0.667 0.481
O 0.168 0.337 0.768
Ac 0.000 0.000 0.500
Cr 0.667 0.333 0.297
Cr 0.333 0.667 0.703
Au 0.000 0.000 0.000

* electronic total energy: -6.646 eV per atom